Below is a relaxed CeThGeAu crystal, with properties calculated at the PBE level.

Lattice parameters (Å, degrees): 4.230 4.351 6.014 90.00 110.59 90.00
Element x y z (fractional)
Ce 0.858 0.500 0.715
Ge 0.584 0.500 0.167
Au 0.419 0.000 0.839
Th 0.139 0.000 0.278

## Properties
- formation enthalpy at 0 K (eV/atom) = -0.66
- symmetry = Amm2, No. 38
- total magnetization (μB/atom) = 0.321
- energy relative to the lowest polymorph listed for this composition (eV/f.u.) = 0.00

Below is a relaxed CeThGeAu crystal, with properties calculated at the PBE level.

Lattice parameters (Å, degrees): 5.226 5.226 5.226 60.00 60.00 60.00
Element x y z (fractional)
Th 0.000 0.000 0.000
Ce 0.500 0.500 0.500
Ge 0.250 0.250 0.250
Au 0.750 0.750 0.750

## Properties
- formation enthalpy at 0 K (eV/atom) = -0.55
- symmetry = F-43m, No. 216
- total magnetization (μB/atom) = 0.433
- energy relative to the lowest polymorph listed for this composition (eV/f.u.) = 0.46